Entry from Alexandria: LaZr2Tl after structural relaxation (GGA-PBE).

* DOS(E_F): 11.7 states/eV per cell
* total DFT energy (no corrections): -6.081 eV/atom
* calculated volume: 206 Å³/cell
* distance to the lowest polymorph of the same formula: 0.0463 eV/atom
* magnetization: 0.0 μB/f.u.
* energy of formation: 0.016 eV per atom

Cell lengths 10.9737, 3.3208, 5.7910 Å; angles 90.00, 101.97, 90.00 degrees
With the nearest neighbours (Å) after each atom.
Space group C2/m (No. 12)
One atom of each set of equivalent atoms:
1 La 0.0000 0.0000 0.0000 x2  6 Zr 3.28-3.43, 2 La 3.32, 4 Tl 3.34
2 Zr 0.2353 0.0000 0.7320 x4  3 Tl 3.13-3.44, 6 Zr 3.23-3.48, 3 La 3.28-3.43
3 Tl 0.0000 0.5000 0.5000 x2  6 Zr 3.13-3.44, 2 Tl 3.32, 4 La 3.34